FeRh3O: relaxed, PBE with a Hubbard U.

Summary:
* energy above the lowest structure with this stoichiometry: 2020 meV/atom
* magnetic moment: 0.00 μB per cell
* final energy: -4.24 eV per atom

abc: 4.396 4.396 4.396
angles: 90.00 90.00 90.00
Fractional positions:
Fe 0.000 0.000 0.000
Rh 0.000 0.000 0.500
Rh 0.000 0.500 0.000
Rh 0.500 0.000 0.000
O 0.500 0.500 0.500